The following is a DFT calculation (SCAN) of FeAg2Cl at its PBEsol-relaxed geometry.

```
data_FeAg2Cl
_chemical_formula_sum 'Fe2 Ag4 Cl2'
_symmetry_space_group_name_H-M 'I -4 m 2'
_symmetry_Int_Tables_number 119
_symmetry_space_group_name_Hall 'I -4 -2'
_cell_length_a 3.994
_cell_length_b 3.994
_cell_length_c 8.240
_cell_angle_alpha 90.00
_cell_angle_beta 90.00
_cell_angle_gamma 90.00
loop_
_atom_site_label
_atom_site_fract_x
_atom_site_fract_y
_atom_site_fract_z
Fe1 0.000 0.000 0.000
Ag1 0.000 0.000 0.500
Ag2 0.000 0.500 0.250
Cl1 0.000 0.500 0.750
```

***

The following is a DFT calculation (SCAN) of FeAgCl2 at its PBEsol-relaxed geometry.

```
data_FeAgCl2
_chemical_formula_sum 'Fe4 Ag4 Cl8'
_symmetry_space_group_name_H-M 'F m -3 m'
_symmetry_Int_Tables_number 225
_symmetry_space_group_name_Hall '-F 4 2 3'
_cell_length_a 6.420
_cell_length_b 6.420
_cell_length_c 6.420
_cell_angle_alpha 90.00
_cell_angle_beta 90.00
_cell_angle_gamma 90.00
loop_
_atom_site_label
_atom_site_fract_x
_atom_site_fract_y
_atom_site_fract_z
Fe1 0.000 0.000 0.000
Ag1 0.000 0.000 0.500
Cl1 0.250 0.250 0.250
```

Values from the calculation:
ΔE to the lowest computed polymorph ... 0.85 eV/f.u.

***

The following is a DFT calculation (SCAN) of FeAgCl2 at its PBEsol-relaxed geometry.

```
data_FeAgCl2
_chemical_formula_sum 'Fe2 Ag2 Cl4'
_symmetry_space_group_name_H-M 'I m m m'
_symmetry_Int_Tables_number 71
_symmetry_space_group_name_Hall '-I 2 2'
_cell_length_a 3.207
_cell_length_b 4.466
_cell_length_c 11.633
_cell_angle_alpha 90.00
_cell_angle_beta 90.00
_cell_angle_gamma 90.00
loop_
_atom_site_label
_atom_site_fract_x
_atom_site_fract_y
_atom_site_fract_z
Fe1 0.000 0.000 0.000
Ag1 0.000 0.000 0.500
Cl1 0.000 0.500 0.353
```

Values from the calculation:
ΔE to the lowest computed polymorph ... 0.00 eV/f.u.

***

| no. | calculated density (Mg/m³) | D(E_F) (states/eV/atom) | formation energy (no corrections) (meV per atom) |
| --- | --- | --- | --- |
| 1 | 7.76 | 0.34 | 441.6 |
| 2 | 5.89 | 0.54 | -144.1 |
| 3 | 4.68 | 0.19 | -357.4 |